# 1
The following is a PBE calculation of a relaxed structure of Fe2NiH, from Alexandria via LeMat-Bulk.

Unit cell a=5.4487 b=5.4487 c=5.4487 alpha=90.00 beta=90.00 gamma=90.00
Space group Fm-3m (No. 225)
One atom of each set of equivalent atoms:
1 Fe 0.2500 0.2500 0.2500 (multiplicity 8)
2 Ni 0.0000 0.0000 0.0000 (multiplicity 4)
3 H 0.0000 0.0000 0.5000 (multiplicity 4)

Its density of states at the Fermi level is 17.72 states/eV per cell. The calculation puts the total energy at -5.987 eV per atom.



# 2
The following is a PBE calculation of a relaxed structure of FeNiH, from Alexandria via LeMat-Bulk.

Unit cell a=4.8070 b=4.8070 c=4.8070 alpha=90.00 beta=90.00 gamma=90.00
Space group F-43m (No. 216)
One atom of each set of equivalent atoms:
1 Fe 0.0000 0.0000 0.0000 (multiplicity 4)
2 Ni 0.0000 0.0000 0.5000 (multiplicity 4)
3 H 0.2500 0.2500 0.7500 (multiplicity 4)

Its density of states at the Fermi level is 8.54 states/eV per cell. The calculation puts the total energy at -5.431 eV per atom.



# 3
The following is a PBE calculation of a relaxed structure of Fe3NiH2, from Alexandria via LeMat-Bulk.

Unit cell a=12.7732 b=2.6996 c=6.3385 alpha=90.00 beta=100.38 gamma=90.00
Space group C2/m (No. 12)
One atom of each set of equivalent atoms:
1 Fe 0.1381 0.0000 0.1763 (multiplicity 4)
2 Fe 0.1643 0.5000 0.5033 (multiplicity 4)
3 Fe 0.2055 0.0000 0.8325 (multiplicity 4)
4 Ni 0.0321 0.5000 0.7863 (multiplicity 4)
5 H 0.0659 0.5000 0.0681 (multiplicity 4)
6 H 0.0805 0.0000 0.6463 (multiplicity 4)

Its density of states at the Fermi level is 13.72 states/eV per cell. The calculation puts the total energy at -6.184 eV per atom.



# 4
The following is a PBE calculation of a relaxed structure of FeNiH2, from Alexandria via LeMat-Bulk.

Unit cell a=4.7116 b=5.4971 c=4.4754 alpha=90.00 beta=90.00 gamma=90.00
Space group Pna2_1 (No. 33)
One atom of each set of equivalent atoms:
1 Fe 0.0759 0.1241 0.0000 (multiplicity 4)
2 Ni 0.0811 0.6212 0.9993 (multiplicity 4)
3 H 0.0837 0.6196 0.3655 (multiplicity 4)
4 H 0.0883 0.1347 0.3813 (multiplicity 4)

Its density of states at the Fermi level is 7.84 states/eV per cell. The calculation puts the total energy at -5.193 eV per atom.



Copy entry 1 word for word.
The following is a PBE calculation of a relaxed structure of Fe2NiH, from Alexandria via LeMat-Bulk.

Unit cell a=5.4487 b=5.4487 c=5.4487 alpha=90.00 beta=90.00 gamma=90.00
Space group Fm-3m (No. 225)
One atom of each set of equivalent atoms:
1 Fe 0.2500 0.2500 0.2500 (multiplicity 8)
2 Ni 0.0000 0.0000 0.0000 (multiplicity 4)
3 H 0.0000 0.0000 0.5000 (multiplicity 4)

Its density of states at the Fermi level is 17.72 states/eV per cell. The calculation puts the total energy at -5.987 eV per atom.